Record 1
Ba5Re3IO15 PBE-GGA relaxed; energy relative to the elements, uncorrected = -2.284 eV/atom; SG = No. 185
1.0
-2.2705 -0.7169 11.0155
10.4542 -1.9387 -3.7364
1.7452 7.7459 0.8638
O Ba Re I
30 10 6 2
Cartesian
6.1902 4.7152 3.2718 O
2.7288 0.3248 2.3269 O
9.4530 4.0823 2.3549 O
0.4957 2.8153 8.0539 O
0.6022 1.5689 5.8504 O
10.1817 5.5976 0.4595 O
4.0724 4.5989 8.5928 O
1.4193 5.4243 6.5515 O
4.3099 2.6517 1.8144 O
6.8357 3.1483 5.6356 O
3.8650 0.9360 4.9336 O
2.1574 6.9374 4.6578 O
4.2880 4.4146 -0.5722 O
6.3675 5.7612 6.6990 O
5.4793 6.6184 0.8067 O
2.6510 2.8110 3.7376 O
5.1982 1.7945 7.7067 O
0.4401 4.7841 3.8887 O
5.5176 0.7773 3.0177 O
8.0264 5.6019 4.7758 O
2.4379 6.3412 9.4371 O
2.9444 0.7733 8.2522 O
7.1108 4.8778 -0.0468 O
7.5470 -0.2246 -2.4808 O
-1.3298 0.6278 7.8102 O
5.9828 1.0522 -0.3874 O
8.2396 2.0717 -0.9237 O
8.6359 0.2268 1.6539 O
4.5377 4.8738 5.1877 O
8.5201 1.4755 3.8556 O
-0.3024 5.4456 8.6532 Ba
3.3447 1.5596 -0.7936 Ba
8.9250 4.5596 -2.0442 Ba
2.8930 2.9679 6.5545 Ba
3.5933 5.2356 2.6658 Ba
-0.1526 1.8954 3.2609 Ba
7.1346 2.5606 1.6372 Ba
6.2620 -1.3123 1.2053 Ba
6.4059 0.1668 5.5118 Ba
2.0204 -0.9051 6.1226 Ba
6.4087 4.7795 5.1321 Re
-0.8110 2.0836 6.9687 Re
6.9146 1.3418 -1.9876 Re
3.7826 1.4755 3.1406 Re
0.5481 6.1102 5.0404 Re
5.5472 5.6301 -0.7551 Re
0.0130 0.0576 0.0064 I
0.8856 3.9306 0.4383 I

=====

Record 2
HoTh PBE-GGA relaxed; ΔE to the lowest computed polymorph = 0 meV per atom; SG = No. 166; ΔE_f = 23.4 meV per atom
1.0
3.5656 0.0000 0.0000
1.7828 3.0879 0.0000
1.7828 1.0293 11.5626
Th Ho
2 2
Cartesian
3.5656 2.0586 10.1381 Th
3.5656 2.0586 1.4245 Th
1.7828 1.0293 7.2457 Ho
5.3484 3.0879 4.3169 Ho

=====

Record 3
TbThS2 PBE-GGA relaxed; energy relative to the elements, uncorrected = -1.883 eV/atom; ΔE to the lowest computed polymorph = 34 meV per atom; SG = No. 194
1.0
-3.0858 0.0716 2.3848
-0.2592 -1.7576 -3.4725
4.0975 -11.7778 5.6554
Th S Tb
2 4 2
Cartesian
-1.1192 -3.4826 1.8462 Th
1.8717 -9.9812 2.7215 Th
-0.7188 -2.5351 -0.8539 S
1.4713 -10.9287 5.4216 S
0.3647 -5.6495 0.6415 S
0.3878 -7.8143 3.9262 S
0.0000 0.0000 0.0000 Tb
2.0487 -5.8889 2.8277 Tb

=====

Record 4
Li2ZnSi PBE-GGA relaxed; energy relative to the elements, uncorrected = -0.101 eV/atom; SG = No. 123
1.0
-4.3151 -0.8061 0.8198
1.1222 -2.2605 3.6841
-0.1604 2.4157 1.5311
Si Zn Li
1 1 2
Cartesian
-2.2377 0.8048 1.1755 Si
0.4809 0.0776 2.6076 Zn
-1.5964 -1.5333 2.2519 Li
0.0000 0.0000 0.0000 Li

=====

Record 5
In6SnPb12 PBE-GGA relaxed; ΔE to the lowest computed polymorph = 0 meV per atom; SG = No. 148; ΔE_f = 55.3 meV per atom
1.0
-1.0581 8.2427 -0.8965
-4.1151 -1.1164 -7.1892
-7.3231 -0.3094 4.0177
Pb In Sn
12 6 1
Cartesian
-2.7401 -0.2847 -2.0436 Pb
-8.4948 2.7805 -0.9909 Pb
-5.9660 0.8852 -2.3231 Pb
-9.7562 7.1016 -2.0244 Pb
-5.4329 3.4795 0.3869 Pb
-2.9860 1.1953 1.1918 Pb
-11.2756 3.9380 -2.6584 Pb
-1.2207 2.8789 -1.4097 Pb
-6.5303 5.9318 -1.7449 Pb
-9.5103 5.6216 -5.2599 Pb
-4.0014 4.0364 -3.0772 Pb
-7.0634 3.3374 -4.4549 Pb
-4.1040 1.3130 -5.0226 In
-9.3398 1.0151 -3.6567 In
-8.3922 5.5039 0.9545 In
-5.9590 6.4048 -5.0102 In
-6.5372 0.4121 0.9422 In
-3.1564 5.8018 -0.4114 In
0.0000 0.0000 0.0000 Sn

=====

Record 6
BaPmHg2 PBE-GGA relaxed; SG = No. 123; ΔE_f = -480.8 meV per atom
1.0
3.9608 0.0000 0.0000
0.0000 3.9608 0.0000
0.0000 0.0000 8.1408
Pm Hg Ba
1 2 1
Cartesian
1.9804 1.9804 0.0000 Pm
0.0000 0.0000 6.4254 Hg
0.0000 0.0000 1.7154 Hg
1.9804 1.9804 4.0704 Ba

=====

Record 7
BaTb6Tl12 PBE-GGA relaxed; SG = No. 166; ΔE_f = -108.6 meV per atom
1.0
-6.7883 0.5171 5.7167
0.8654 -8.6311 -1.9452
7.2529 2.1622 4.6635
Tl Tb Ba
12 6 1
Cartesian
3.1550 1.2315 6.7937 Tl
-0.7342 -3.5669 6.5351 Tl
-2.3185 0.5902 7.2042 Tl
0.3078 -0.2855 3.6581 Tl
3.6486 -6.5420 1.2307 Tl
-4.8085 -3.6172 4.6280 Tl
6.1385 -2.3346 3.8069 Tl
1.0222 -5.6663 4.7768 Tl
-1.1580 -2.7624 2.1415 Tl
2.0642 -2.3849 1.8998 Tl
2.4880 -3.1894 6.2934 Tl
-1.8250 -7.1833 1.6413 Tl
0.5756 -0.5597 6.7996 Tb
3.4606 -0.8194 4.4352 Tb
0.7544 -5.3921 1.6353 Tb
3.8182 -4.4354 3.5536 Tb
-2.4881 -1.5164 4.8814 Tb
-2.1306 -5.1324 3.9998 Tb
0.0000 0.0000 0.0000 Ba

=====

Record 8
Nd2TlBi PBE-GGA relaxed; ΔE to the lowest computed polymorph = 0 meV per atom; SG = No. 63; ΔE_f = -638.9 meV per atom
1.0
4.5490 0.0000 0.0000
0.0000 4.5969 -0.8165
0.0000 -0.1028 12.7707
Bi Nd Tl
2 4 2
Cartesian
3.4118 3.6657 7.2897 Bi
1.1373 0.8285 4.6645 Bi
1.1373 0.2751 1.5490 Nd
3.4118 4.2190 10.4052 Nd
1.1373 1.3928 7.8416 Nd
3.4118 3.1014 4.1126 Nd
3.4118 2.4918 0.6806 Tl
1.1373 2.0023 11.2736 Tl